First-principles (PBE-GGA) data for a geometry-optimized NdSiAg structure, as listed in Alexandria via LeMat-Bulk.

```
data_NdSiAg
_cell_length_a 4.231
_cell_length_b 16.371
_cell_length_c 3.849
_cell_angle_alpha 90.00
_cell_angle_beta 90.00
_cell_angle_gamma 90.00
_space_group_name_H-M_alt 'C m c m'
_space_group_IT_number 63
_space_group_name_Hall '-C 2c 2'
loop_
_atom_site_label
_atom_site_type_symbol
_atom_site_fract_x
_atom_site_fract_y
_atom_site_fract_z
Nd1 Nd 0.000 0.101 0.250
Si1 Si 0.000 0.457 0.250
Ag1 Ag 0.000 0.290 0.250
```

## Properties
* formation energy from raw total energies: -0.524 eV per atom
* calculated volume: 22.22 Å³ per atom
* uncorrected energy: -4.87 eV/atom
* mass density: 6979 kg/m3
* density of states at the Fermi level: 1.1 states/eV/f.u.